[1]
Entry from Alexandria: a PBEsol-optimized structure of RbOsIO2 (meta-GGA SCAN).

E_tot = -143.2 eV per cell
distance to the lowest polymorph of the same formula = 0.0 kJ/mol of formula units
volume = 95.3 Å³/cell
raw formation energy = -0.2849 eV per atom

Unit cell a=4.107 b=4.107 c=5.652 alpha=90.00 beta=90.00 gamma=90.00
Space group P4/mmm (No. 123)
Symmetry-distinct sites (fractional):
1 Rb 0.000 0.000 0.000 (multiplicity 1)
2 Os 0.500 0.500 0.500 (multiplicity 1)
3 I 0.500 0.500 0.000 (multiplicity 1)
4 O 0.000 0.500 0.500 (multiplicity 2)

[2]
Entry from Alexandria: a PBEsol-optimized structure of TeRhBr2 (meta-GGA SCAN).

E_tot = -433.2 eV per cell
volume = 357.7 Å³/cell
raw formation energy = 0.4113 eV per atom

Unit cell a=6.090 b=6.527 c=8.998 alpha=90.00 beta=90.00 gamma=90.00
Space group Fmmm (No. 69)
Symmetry-distinct sites (fractional):
1 Te 0.000 0.000 0.000 (multiplicity 4)
2 Rh 0.000 0.000 0.500 (multiplicity 4)
3 Br 0.000 0.250 0.250 (multiplicity 8)

[3]
Entry from Alexandria: a PBEsol-optimized structure of SrOs2Pt (meta-GGA SCAN).

E_tot = -697.4 eV per cell
distance to the lowest polymorph of the same formula = 87.9 kJ/mol of formula units
volume = 200.0 Å³/cell
calculated formation energy = 0.94 eV/atom

Unit cell a=2.7857 b=2.7857 c=29.7578 alpha=90.00 beta=90.00 gamma=120.00
Space group R-3m (No. 166, hexagonal axes)
Symmetry-distinct sites (fractional):
1 Sr 0.0000 0.0000 0.0000 (multiplicity 3)
2 Os 0.0000 0.0000 0.2402 (multiplicity 6)
3 Pt 0.0000 0.0000 0.5000 (multiplicity 3)

[4]
Entry from Alexandria: a PBEsol-optimized structure of TbOsO3 (meta-GGA SCAN).

E_tot = -145.6 eV per cell
volume = 60.0 Å³/cell
raw formation energy = -1.6438 eV per atom

Unit cell a=3.914 b=3.914 c=3.914 alpha=90.00 beta=90.00 gamma=90.00
Space group Pm-3m (No. 221)
Symmetry-distinct sites (fractional):
1 Tb 0.000 0.000 0.000 (multiplicity 1)
2 Os 0.500 0.500 0.500 (multiplicity 1)
3 O 0.000 0.500 0.500 (multiplicity 3)

[5]
Entry from Alexandria: a PBEsol-optimized structure of Li2ZnRe (meta-GGA SCAN).

E_tot = -87.8 eV per cell
volume = 52.1 Å³/cell
calculated formation energy = 0.41 eV/atom

Unit cell a=4.553 b=4.553 c=2.514 alpha=90.00 beta=90.00 gamma=90.00
Space group P4/mmm (No. 123)
Symmetry-distinct sites (fractional):
1 Li 0.000 0.500 0.000 (multiplicity 2)
2 Zn 0.000 0.000 0.500 (multiplicity 1)
3 Re 0.500 0.500 0.500 (multiplicity 1)

[6]
Entry from Alexandria: a PBEsol-optimized structure of K2ScHg (meta-GGA SCAN).

E_tot = -388.4 eV per cell
volume = 574.6 Å³/cell
calculated formation energy = 0.49 eV/atom

Unit cell a=8.314 b=8.314 c=8.314 alpha=90.00 beta=90.00 gamma=90.00
Space group Fm-3m (No. 225)
Symmetry-distinct sites (fractional):
1 K 0.250 0.250 0.250 (multiplicity 8)
2 Sc 0.000 0.000 0.000 (multiplicity 4)
3 Hg 0.000 0.000 0.500 (multiplicity 4)

[7]
Entry from Alexandria: a PBEsol-optimized structure of Li4ZrO4 (meta-GGA SCAN).

E_tot = -354.2 eV per cell
volume = 375.2 Å³/cell
raw formation energy = -2.5974 eV per atom

Unit cell a=5.250 b=14.955 c=5.301 alpha=90.00 beta=115.66 gamma=90.00
Space group P2_1/c (No. 14)
Symmetry-distinct sites (fractional):
1 Li 0.106 0.112 0.190 (multiplicity 4)
2 Li 0.145 0.227 0.555 (multiplicity 4)
3 Li 0.246 0.011 0.798 (multiplicity 4)
4 Li 0.364 0.718 0.368 (multiplicity 4)
5 Zr 0.337 0.600 0.915 (multiplicity 4)
6 O 0.022 0.595 0.021 (multiplicity 4)
7 O 0.161 0.683 0.594 (multiplicity 4)
8 O 0.383 0.012 0.212 (multiplicity 4)
9 O 0.397 0.197 0.361 (multiplicity 4)

[8]
Entry from Alexandria: a PBEsol-optimized structure of LiReAs2 (meta-GGA SCAN).

E_tot = -114.8 eV per cell
distance to the lowest polymorph of the same formula = 0.0 kJ/mol of formula units
volume = 64.0 Å³/cell
calculated formation energy = -0.23 eV/atom

Unit cell a=3.039 b=3.035 c=6.971 alpha=90.00 beta=95.07 gamma=90.00
Space group P2/m (No. 10)
Symmetry-distinct sites (fractional):
1 Li 0.000 0.000 0.000 (multiplicity 1)
2 Re 0.000 0.000 0.500 (multiplicity 1)
3 As 0.459 0.500 0.282 (multiplicity 2)

[9]
Entry from Alexandria: a PBEsol-optimized structure of CdInNi2 (meta-GGA SCAN).

E_tot = -96.1 eV per cell
volume = 58.6 Å³/cell
calculated formation energy = 0.02 eV/atom

Unit cell a=4.336 b=4.336 c=3.115 alpha=90.00 beta=90.00 gamma=90.00
Space group P4/mmm (No. 123)
Symmetry-distinct sites (fractional):
1 Cd 0.000 0.000 0.000 (multiplicity 1)
2 In 0.500 0.500 0.000 (multiplicity 1)
3 Ni 0.000 0.500 0.500 (multiplicity 2)

[10]
Entry from Alexandria: a PBEsol-optimized structure of TaMn2Tc (meta-GGA SCAN).

E_tot = -137.7 eV per cell
distance to the lowest polymorph of the same formula = 56.7 kJ/mol of formula units
volume = 52.5 Å³/cell
calculated formation energy = 0.12 eV/atom

Unit cell a=2.702 b=2.702 c=7.196 alpha=90.00 beta=90.00 gamma=90.00
Space group P4mm (No. 99)
Symmetry-distinct sites (fractional):
1 Ta 0.000 0.000 0.000 (multiplicity 1)
2 Mn 0.000 0.000 0.550 (multiplicity 1)
3 Mn 0.500 0.500 0.726 (multiplicity 1)
4 Tc 0.500 0.500 0.307 (multiplicity 1)

[11]
Entry from Alexandria: a PBEsol-optimized structure of Li2CrAu (meta-GGA SCAN).

E_tot = -93.3 eV per cell
distance to the lowest polymorph of the same formula = 0.0 kJ/mol of formula units
volume = 61.2 Å³/cell
calculated formation energy = -0.25 eV/atom

Unit cell a=3.858 b=3.858 c=4.113 alpha=90.00 beta=90.00 gamma=90.00
Space group P4/mmm (No. 123)
Symmetry-distinct sites (fractional):
1 Li 0.000 0.500 0.000 (multiplicity 2)
2 Cr 0.000 0.000 0.500 (multiplicity 1)
3 Au 0.500 0.500 0.500 (multiplicity 1)

[12]
Entry from Alexandria: a PBEsol-optimized structure of HgAs3I (meta-GGA SCAN).

E_tot = -160.0 eV per cell
volume = 137.5 Å³/cell
raw formation energy = 1.1001 eV per atom

Unit cell a=5.162 b=5.162 c=5.162 alpha=90.00 beta=90.00 gamma=90.00
Space group Pm-3m (No. 221)
Symmetry-distinct sites (fractional):
1 Hg 0.000 0.000 0.000 (multiplicity 1)
2 As 0.000 0.000 0.500 (multiplicity 3)
3 I 0.500 0.500 0.500 (multiplicity 1)

[13]
Entry from Alexandria: a PBEsol-optimized structure of Zn3P2S8 (meta-GGA SCAN).

E_tot = -291.6 eV per cell
volume = 537.8 Å³/cell
raw formation energy = -0.5717 eV per atom

Unit cell a=7.713 b=7.713 c=9.041 alpha=90.00 beta=90.00 gamma=90.00
Space group P-4n2 (No. 118)
Symmetry-distinct sites (fractional):
1 Zn 0.000 0.000 0.000 (multiplicity 2)
2 Zn 0.000 0.500 0.016 (multiplicity 4)
3 P 0.243 0.257 0.250 (multiplicity 4)
4 S 0.017 0.748 0.860 (multiplicity 8)
5 S 0.029 0.233 0.376 (multiplicity 8)

[14]
Entry from Alexandria: a PBEsol-optimized structure of Tl2SbPb (meta-GGA SCAN).

E_tot = -257.6 eV per cell
distance to the lowest polymorph of the same formula = 12.1 kJ/mol of formula units
volume = 113.8 Å³/cell
raw formation energy = 0.0369 eV per atom

Unit cell a=3.275 b=5.244 c=6.625 alpha=90.00 beta=90.00 gamma=90.00
Space group Pmmm (No. 47)
Symmetry-distinct sites (fractional):
1 Tl 0.000 0.000 0.246 (multiplicity 2)
2 Sb 0.500 0.500 0.000 (multiplicity 1)
3 Pb 0.500 0.500 0.500 (multiplicity 1)

[15]
Entry from Alexandria: a PBEsol-optimized structure of Cu2Pt3 (meta-GGA SCAN).

E_tot = -483.2 eV per cell
distance to the lowest polymorph of the same formula = 10.1 kJ/mol of formula units
volume = 137.2 Å³/cell
calculated formation energy = -0.13 eV/atom

Unit cell a=4.645 b=5.387 c=6.016 alpha=77.02 beta=75.23 gamma=72.81
Space group P-1 (No. 2)
Symmetry-distinct sites (fractional):
1 Cu 0.000 0.248 0.001 (multiplicity 2)
2 Cu 0.201 0.049 0.601 (multiplicity 2)
3 Pt 0.198 0.553 0.601 (multiplicity 2)
4 Pt 0.392 0.856 0.197 (multiplicity 2)
5 Pt 0.399 0.346 0.201 (multiplicity 2)

[16]
Entry from Alexandria: a PBEsol-optimized structure of YCd2Si (meta-GGA SCAN).

E_tot = -198.3 eV per cell
volume = 176.6 Å³/cell
raw formation energy = -0.1212 eV per atom

Unit cell a=10.165 b=3.414 c=5.668 alpha=90.00 beta=116.14 gamma=90.00
Space group Cm (No. 8)
Symmetry-distinct sites (fractional):
1 Y 0.000 0.000 0.000 (multiplicity 2)
2 Cd 0.073 0.500 0.549 (multiplicity 2)
3 Cd 0.300 0.500 0.374 (multiplicity 2)
4 Si 0.262 0.000 0.948 (multiplicity 2)

[17]
Entry from Alexandria: a PBEsol-optimized structure of SrDy2CuO5 (meta-GGA SCAN).

E_tot = -766.1 eV per cell
volume = 467.4 Å³/cell
raw formation energy = -3.0329 eV per atom

Unit cell a=11.930 b=5.563 c=7.043 alpha=90.00 beta=90.00 gamma=90.00
Space group Pnma (No. 62)
Symmetry-distinct sites (fractional):
1 Sr 0.087 0.250 0.082 (multiplicity 4)
2 Dy 0.074 0.750 0.396 (multiplicity 4)
3 Dy 0.213 0.250 0.615 (multiplicity 4)
4 Cu 0.163 0.750 0.782 (multiplicity 4)
5 O 0.066 0.508 0.667 (multiplicity 8)
6 O 0.095 0.750 0.073 (multiplicity 4)
7 O 0.223 0.006 0.350 (multiplicity 8)

[18]
Entry from Alexandria: a PBEsol-optimized structure of ScP3Rh (meta-GGA SCAN).

E_tot = -74.3 eV per cell
volume = 104.6 Å³/cell
calculated formation energy = 0.99 eV/atom

Unit cell a=4.711 b=4.711 c=4.711 alpha=90.00 beta=90.00 gamma=90.00
Space group Pm-3m (No. 221)
Symmetry-distinct sites (fractional):
1 Sc 0.000 0.000 0.000 (multiplicity 1)
2 P 0.000 0.000 0.500 (multiplicity 3)
3 Rh 0.500 0.500 0.500 (multiplicity 1)

[19]
Entry from Alexandria: a PBEsol-optimized structure of PPtCl2 (meta-GGA SCAN).

E_tot = -198.7 eV per cell
distance to the lowest polymorph of the same formula = 0.0 kJ/mol of formula units
volume = 172.8 Å³/cell
raw formation energy = -0.7047 eV per atom

Unit cell a=6.411 b=3.512 c=7.700 alpha=90.00 beta=94.31 gamma=90.00
Space group Cm (No. 8)
Symmetry-distinct sites (fractional):
1 P 0.000 0.000 0.000 (multiplicity 2)
2 Pt 0.178 0.500 0.124 (multiplicity 2)
3 Cl 0.249 0.000 0.353 (multiplicity 2)
4 Cl 0.472 0.500 0.737 (multiplicity 2)

[20]
Entry from Alexandria: a PBEsol-optimized structure of HfGaIO2 (meta-GGA SCAN).

E_tot = -129.1 eV per cell
volume = 82.0 Å³/cell
raw formation energy = -0.1818 eV per atom

Unit cell a=3.950 b=3.950 c=5.254 alpha=90.00 beta=90.00 gamma=90.00
Space group P4/mmm (No. 123)
Symmetry-distinct sites (fractional):
1 Hf 0.000 0.000 0.000 (multiplicity 1)
2 Ga 0.500 0.500 0.500 (multiplicity 1)
3 I 0.500 0.500 0.000 (multiplicity 1)
4 O 0.000 0.500 0.500 (multiplicity 2)

[21]
Entry from Alexandria: a PBEsol-optimized structure of TlCdAg2 (meta-GGA SCAN).

E_tot = -660.2 eV per cell
volume = 313.5 Å³/cell
calculated formation energy = 0.12 eV/atom

Unit cell a=6.793 b=6.793 c=6.793 alpha=90.00 beta=90.00 gamma=90.00
Space group F-43m (No. 216)
Symmetry-distinct sites (fractional):
1 Tl 0.000 0.000 0.000 (multiplicity 4)
2 Cd 0.250 0.250 0.750 (multiplicity 4)
3 Ag 0.000 0.000 0.500 (multiplicity 4)
4 Ag 0.250 0.250 0.250 (multiplicity 4)

[22]
Entry from Alexandria: a PBEsol-optimized structure of HfCrI2O (meta-GGA SCAN).

E_tot = -165.2 eV per cell
volume = 127.6 Å³/cell
raw formation energy = -0.8872 eV per atom

Unit cell a=5.700 b=5.700 c=3.927 alpha=90.00 beta=90.00 gamma=90.00
Space group P4/mmm (No. 123)
Symmetry-distinct sites (fractional):
1 Hf 0.000 0.000 0.000 (multiplicity 1)
2 Cr 0.500 0.500 0.500 (multiplicity 1)
3 I 0.000 0.500 0.000 (multiplicity 2)
4 O 0.000 0.000 0.500 (multiplicity 1)

[23]
Entry from Alexandria: a PBEsol-optimized structure of Hf2Tl2Re (meta-GGA SCAN).

E_tot = -675.3 eV per cell
volume = 222.6 Å³/cell
calculated formation energy = 0.70 eV/atom

Unit cell a=3.745 b=3.745 c=15.874 alpha=90.00 beta=90.00 gamma=90.00
Space group I4/mmm (No. 139)
Symmetry-distinct sites (fractional):
1 Hf 0.000 0.000 0.088 (multiplicity 4)
2 Tl 0.000 0.500 0.250 (multiplicity 4)
3 Re 0.000 0.000 0.500 (multiplicity 2)

[24]
Entry from Alexandria: a PBEsol-optimized structure of IrRu2Pb (meta-GGA SCAN).

E_tot = -641.7 eV per cell
volume = 192.5 Å³/cell
calculated formation energy = 0.65 eV/atom

Unit cell a=2.8657 b=2.8657 c=27.0729 alpha=90.00 beta=90.00 gamma=120.00
Space group R3m (No. 160, hexagonal axes)
Symmetry-distinct sites (fractional):
1 Ir 0.0000 0.0000 0.0000 (multiplicity 3)
2 Ru 0.0000 0.0000 0.4851 (multiplicity 3)
3 Ru 0.0000 0.0000 0.7445 (multiplicity 3)
4 Pb 0.0000 0.0000 0.2419 (multiplicity 3)

[25]
Entry from Alexandria: a PBEsol-optimized structure of Cs3TaTe (meta-GGA SCAN).

E_tot = -213.4 eV per cell
volume = 366.7 Å³/cell
raw formation energy = 0.7786 eV per atom

Unit cell a=7.157 b=7.157 c=7.157 alpha=90.00 beta=90.00 gamma=90.00
Space group Pm-3m (No. 221)
Symmetry-distinct sites (fractional):
1 Cs 0.000 0.000 0.500 (multiplicity 3)
2 Ta 0.500 0.500 0.500 (multiplicity 1)
3 Te 0.000 0.000 0.000 (multiplicity 1)